Entry from OQMD via LeMat-Bulk: a relaxed structure of NdIn3Ni (PBE-GGA).

```
5
Lattice="-2.2891 2.2891 5.5800 2.2891 -2.2891 5.5800 2.2891 2.2891 -5.5800" Properties=species:S:1:pos:R:3 pbc="T T T"
Nd 0.0000 0.0000 0.0000
In 2.2891 0.0000 2.8961
In 0.0000 0.0000 6.4959
In 0.0000 2.2891 2.8961
Ni 0.0000 0.0000 4.0369
```

Properties
symmetry	I4mm (107)
mass density	7.772	Mg/m³
raw total energy	-4.066	eV/atom
V	23.391	Å³ per atom


Entry from OQMD via LeMat-Bulk: a relaxed structure of DyO2 (PBE-GGA).

```
6
Lattice="0.0000 3.2369 3.2369 3.2369 0.0000 3.2369 3.2369 3.2369 0.0000" Properties=species:S:1:pos:R:3 pbc="T T T"
Dy 0.8092 0.8092 0.8092
Dy 5.6647 5.6647 5.6647
O 3.2369 1.6185 1.6185
O 1.6185 3.2369 1.6185
O 1.6185 1.6185 3.2369
O 3.2369 3.2369 3.2369
```

Properties
symmetry	Fd-3m (227)
mass density	9.523	Mg/m³
raw total energy	-5.443	eV/atom
V	11.305	Å³ per atom


Repeat the second record exactly.
Entry from OQMD via LeMat-Bulk: a relaxed structure of DyO2 (PBE-GGA).

```
6
Lattice="0.0000 3.2369 3.2369 3.2369 0.0000 3.2369 3.2369 3.2369 0.0000" Properties=species:S:1:pos:R:3 pbc="T T T"
Dy 0.8092 0.8092 0.8092
Dy 5.6647 5.6647 5.6647
O 3.2369 1.6185 1.6185
O 1.6185 3.2369 1.6185
O 1.6185 1.6185 3.2369
O 3.2369 3.2369 3.2369
```

Properties
symmetry	Fd-3m (227)
mass density	9.523	Mg/m³
raw total energy	-5.443	eV/atom
V	11.305	Å³ per atom